The following is a GGA-PBEsol calculation of Tm3Ga9Pt2 after structural relaxation, from Alexandria.

Cell and atoms, written as POSCAR:
```
Tm3Ga9Pt2
1.0
-2.257 1.469 3.116
-4.951 -6.040 1.983
3.282 -3.221 6.617
Tm Ga Pt
3 9 2
direct
0.000 0.000 0.000 Tm
0.677 0.323 0.323 Tm
0.323 0.677 0.677 Tm
0.000 0.500 0.500 Ga
0.668 0.956 0.708 Ga
0.332 0.044 0.292 Ga
0.668 0.708 0.956 Ga
0.332 0.292 0.044 Ga
0.869 0.851 0.412 Ga
0.131 0.149 0.588 Ga
0.869 0.412 0.851 Ga
0.131 0.588 0.149 Ga
0.500 0.276 0.724 Pt
0.500 0.724 0.276 Pt
```

## Properties
V: 245.0 Å³ per cell
Density of states at the Fermi level: 4.12 states/eV per cell
Spin magnetization: 0.0 μB per cell
DFT total energy: -68.7 eV/cell

---

The following is a GGA-PBEsol calculation of HfZnCdTe2 after structural relaxation, from Alexandria.

Cell and atoms, written as POSCAR:
```
HfZnCdTe2
1.0
-1.380 2.333 -3.891
-3.766 -3.539 -0.786
-3.291 2.861 2.882
Zn Te Hf Cd
1 2 1 1
direct
0.000 0.000 0.000 Zn
0.000 0.000 0.500 Te
0.000 0.500 0.000 Te
0.500 0.500 0.500 Hf
0.500 0.000 0.000 Cd
```

## Properties
V: 129.6 Å³ per cell
Density of states at the Fermi level: 3.22 states/eV per cell
Spin magnetization: 0.0 μB per cell
DFT total energy: -17.5 eV/cell
Raw formation energy: 0.566 eV/atom

---

The following is a GGA-PBEsol calculation of V2CoO6 after structural relaxation, from Alexandria.

Cell and atoms, written as POSCAR:
```
V2CoO6
1.0
4.810 -0.015 0.072
-2.388 4.172 -0.166
-0.087 -2.641 4.561
Co O V
1 6 2
direct
0.690 0.380 0.069 Co
0.107 0.858 0.278 O
0.421 0.528 0.278 O
0.751 0.172 0.279 O
0.278 0.925 0.798 O
0.646 0.519 0.798 O
0.872 0.151 0.799 O
0.997 0.991 0.987 V
0.489 0.978 0.465 V
```

## Properties
V: 89.7 Å³ per cell
Density of states at the Fermi level: 3.77 states/eV per cell
Spin magnetization: 0.9 μB per cell
DFT total energy: -75.9 eV/cell
Raw formation energy: -1.935 eV/atom